Computed, not measured: a relaxed structure of ErNpVO6 at the PBE+U level of DFT.

Its magnetic moment is 3.00 μB/f.u. The uncorrected energy comes out at -0.64260 Ry per atom.

It has space group P-31c (No. 163), with a = 5.5560 Å, b = 5.5560 Å, c = 8.7806 Å, α = 90.00°, β = 90.00° and γ = 120.00°. The distinct sites, in fractional coordinates, are Er at (0.3333, 0.6667, 0.2500), Np at (0.3333, 0.6667, 0.7500), V at (0.0000, 0.0000, 0.0000) and O at (0.0239, 0.3371, 0.6258).